A.
Density functional theory data (PBE) for an optimized crystal structure of BaCeS4.

Cell and atoms, written as POSCAR:
```
BaCeS4
1.0
4.5445 0.0000 0.0000
0.0000 4.5445 0.0000
0.0000 0.0000 7.8826
S Ce Ba
4 1 1
direct
0.5000 0.0000 0.7154 S
0.5000 0.0000 0.2846 S
0.0000 0.5000 0.7154 S
0.0000 0.5000 0.2846 S
0.5000 0.5000 0.5000 Ce
0.0000 0.0000 0.0000 Ba
```

Results
M_tot = 0.00 μB/f.u.

---

B.
Density functional theory data (PBE) for an optimized crystal structure of BaCeS4.

Cell and atoms, written as POSCAR:
```
BaCeS4
1.0
-7.4092 2.3010 -0.3554
0.7580 1.3518 -7.0501
-4.1258 -7.6256 1.7896
S Ba Ce
8 2 2
direct
0.8671 0.3150 0.6299 S
0.0000 0.7510 0.0000 S
0.4836 0.3100 0.1306 S
0.4836 0.8206 0.1306 S
0.1329 0.6850 0.3701 S
0.5164 0.1794 0.8694 S
0.0000 0.2490 0.0000 S
0.5164 0.6900 0.8694 S
0.1071 0.1436 0.2872 Ba
0.8929 0.8564 0.7128 Ba
0.7549 0.4761 0.9521 Ce
0.2451 0.5239 0.0479 Ce
```

Results
M_tot = 0.00 μB/f.u.

---

Least stable = A

---

A.
Density functional theory data (PBE) for an optimized crystal structure of BaCe2Tc.

Cell and atoms, written as POSCAR:
```
BaCe2Tc
1.0
-2.3891 -1.8198 -2.6016
1.1694 -3.3694 -1.7513
-4.6722 -7.2550 6.3311
Ce Tc Ba
2 1 1
direct
0.8815 0.8815 0.3556 Ce
0.1185 0.1185 0.6444 Ce
0.5000 0.5000 0.5000 Tc
0.0000 0.0000 0.0000 Ba
```

Results
M_tot = 0.52 μB/f.u.

---

B.
Density functional theory data (PBE) for an optimized crystal structure of BaCe2Tc.

Cell and atoms, written as POSCAR:
```
BaCe2Tc
1.0
3.5075 0.0000 0.0000
0.0000 3.5075 0.0000
0.0000 0.0000 10.1593
Ce Ba Tc
2 1 1
direct
0.0000 0.0000 0.8394 Ce
0.0000 0.0000 0.1606 Ce
0.5000 0.5000 0.5000 Ba
0.5000 0.5000 0.0000 Tc
```

Results
M_tot = 0.87 μB/f.u.

---

Least stable = A

---

A.
Density functional theory data (PBE) for an optimized crystal structure of BaCeTe2.

Cell and atoms, written as POSCAR:
```
BaCeTe2
1.0
-1.2718 3.2485 3.1938
-2.7072 -3.8147 -0.7002
11.9428 -11.4944 16.4473
Te Ba Ce
6 3 3
direct
0.0000 0.0000 0.7768 Te
0.3333 0.6667 0.4078 Te
0.0000 0.0000 0.2232 Te
0.6667 0.3333 0.0736 Te
0.3333 0.6667 0.9264 Te
0.6667 0.3333 0.5922 Te
0.3333 0.6667 0.6828 Ba
0.6667 0.3333 0.3172 Ba
0.0000 0.0000 0.5000 Ba
0.0000 0.0000 0.0000 Ce
0.6667 0.3333 0.8546 Ce
0.3333 0.6667 0.1454 Ce
```

Results
M_tot = 1.32 μB/f.u.

---

B.
Density functional theory data (PBE) for an optimized crystal structure of BaCeTe2.

Cell and atoms, written as POSCAR:
```
BaCeTe2
1.0
4.5952 0.0000 0.0000
2.2976 3.9796 0.0000
2.2976 1.3265 8.2904
Ba Ce Te
1 1 2
direct
0.4967 0.4967 0.5100 Ba
0.6692 0.6692 0.9923 Ce
0.0751 0.0751 0.7748 Te
0.2590 0.2590 0.2229 Te
```

Results
M_tot = 1.53 μB/f.u.

---

Least stable = B

---

A.
Density functional theory data (PBE) for an optimized crystal structure of BaCeTe2.

Cell and atoms, written as POSCAR:
```
BaCeTe2
1.0
-4.2670 0.9016 1.7004
-3.3223 -3.2943 -0.1472
-0.2424 -3.4229 7.6497
Ba Ce Te
1 1 2
direct
0.5000 0.5000 0.5000 Ba
0.0000 0.0000 0.0000 Ce
0.7418 0.7418 0.7746 Te
0.2582 0.2582 0.2254 Te
```

Results
M_tot = 1.36 μB/f.u.

---

B.
Density functional theory data (PBE) for an optimized crystal structure of BaCeTe2.

Cell and atoms, written as POSCAR:
```
BaCeTe2
1.0
-0.7796 1.4332 -3.6752
-3.9123 0.1981 0.9071
1.0319 7.6755 2.7742
Ba Ce Te
1 1 2
direct
0.5000 0.5000 0.5000 Ba
0.5000 0.5000 0.0000 Ce
0.0000 0.0000 0.7732 Te
0.0000 0.0000 0.2268 Te
```

Results
M_tot = 1.77 μB/f.u.

---

Least stable = B

---

A.
Density functional theory data (PBE) for an optimized crystal structure of Ba2CeTe3.

Cell and atoms, written as POSCAR:
```
Ba2CeTe3
1.0
-6.9071 -4.3271 1.7248
6.1890 -3.5648 -4.2891
3.5123 0.1263 7.6646
Te Ba Ce
6 4 2
direct
0.6060 0.9393 0.7710 Te
0.0607 0.3940 0.2290 Te
0.7604 0.7449 0.2335 Te
0.4116 0.0938 0.2334 Te
0.2551 0.2396 0.7665 Te
0.9063 0.5884 0.7666 Te
0.4951 0.5049 0.5000 Ba
0.1716 0.8284 0.5000 Ba
0.8333 0.1666 0.5000 Ba
0.3333 0.6667 0.0000 Ba
0.6656 0.3344 0.0000 Ce
0.0010 0.9990 0.0000 Ce
```

Results
M_tot = 1.31 μB/f.u.

---

B.
Density functional theory data (PBE) for an optimized crystal structure of Ba2CeTe3.

Cell and atoms, written as POSCAR:
```
Ba2CeTe3
1.0
-3.8047 -7.2562 -0.2968
0.2748 -1.4275 8.1692
-6.8980 2.5093 3.8692
Te Ce Ba
6 2 4
direct
0.5102 0.8031 0.8571 Te
0.2500 0.4015 0.5985 Te
0.7500 0.5985 0.4015 Te
0.9898 0.1429 0.1969 Te
0.4898 0.1969 0.1429 Te
0.0102 0.8571 0.8031 Te
0.7500 0.9238 0.0762 Ce
0.2500 0.0762 0.9238 Ce
0.3055 0.8336 0.4855 Ba
0.8055 0.4855 0.8336 Ba
0.6945 0.1664 0.5145 Ba
0.1945 0.5145 0.1664 Ba
```

Results
M_tot = 1.99 μB/f.u.

---

Least stable = B

---

A.
Density functional theory data (PBE) for an optimized crystal structure of BaCeTe3.

Cell and atoms, written as POSCAR:
```
BaCeTe3
1.0
-3.0701 -1.9573 -2.6341
-0.4244 -4.4201 3.7791
-5.5784 3.7267 3.7322
Te Ce Ba
3 1 1
direct
0.5000 0.0000 0.2781 Te
0.5000 0.0000 0.7219 Te
0.0000 0.5000 0.0000 Te
0.0000 0.0000 0.0000 Ce
0.0000 0.5000 0.5000 Ba
```

Results
M_tot = 0.13 μB/f.u.

---

B.
Density functional theory data (PBE) for an optimized crystal structure of BaCeTe3.

Cell and atoms, written as POSCAR:
```
BaCeTe3
1.0
-4.0581 -2.1999 -1.3188
4.5630 -6.6814 -2.8952
-1.0661 -7.7547 16.2158
Ce Ba Te
4 4 12
direct
0.7500 0.2283 0.4573 Ce
0.2500 0.7717 0.5427 Ce
0.7500 0.7283 0.0427 Ce
0.2500 0.2717 0.9573 Ce
0.7500 0.3737 0.6987 Ba
0.2500 0.6263 0.3013 Ba
0.2500 0.1263 0.1987 Ba
0.7500 0.8737 0.8013 Ba
0.7500 0.3306 0.2936 Te
0.2500 0.5080 0.0951 Te
0.7500 0.1294 0.0476 Te
0.2500 0.3706 0.5476 Te
0.2500 0.1694 0.7936 Te
0.2500 0.6694 0.7064 Te
0.7500 0.9920 0.5951 Te
0.2500 0.8706 0.9524 Te
0.7500 0.6294 0.4524 Te
0.2500 0.0080 0.4049 Te
0.7500 0.8306 0.2064 Te
0.7500 0.4920 0.9049 Te
```

Results
M_tot = 0.12 μB/f.u.

---

Least stable = A

---

A.
Density functional theory data (PBE) for an optimized crystal structure of BaCeZn2.

Cell and atoms, written as POSCAR:
```
BaCeZn2
1.0
-0.7495 3.7244 0.5225
-3.1685 -0.9124 1.9582
4.1125 -0.0995 6.6082
Zn Ce Ba
2 1 1
direct
0.0000 0.0000 0.7972 Zn
0.0000 0.0000 0.2028 Zn
0.5000 0.5000 0.0000 Ce
0.5000 0.5000 0.5000 Ba
```

Results
M_tot = 0.88 μB/f.u.

---

B.
Density functional theory data (PBE) for an optimized crystal structure of BaCeZn2.

Cell and atoms, written as POSCAR:
```
BaCeZn2
1.0
-1.1453 2.6516 -2.5928
-1.0593 -1.1046 -3.5669
-9.7027 -0.4587 0.9117
Zn Ce Ba
2 1 1
direct
0.7423 0.7423 0.7729 Zn
0.2576 0.2576 0.2271 Zn
0.0000 0.0000 0.0000 Ce
0.5000 0.5000 0.5000 Ba
```

Results
M_tot = 0.96 μB/f.u.

---

Least stable = B

---

A.
Density functional theory data (PBE) for an optimized crystal structure of BaCeZn.

Cell and atoms, written as POSCAR:
```
BaCeZn
1.0
4.7377 0.0000 0.0000
0.0000 3.9949 0.0000
-2.3688 0.0000 11.4610
Ba Ce Zn
2 2 2
direct
0.8239 0.7500 0.6477 Ba
0.1761 0.2500 0.3523 Ba
0.4582 0.7500 0.9165 Ce
0.5418 0.2500 0.0835 Ce
0.0446 0.7500 0.0892 Zn
0.9554 0.2500 0.9108 Zn
```

Results
M_tot = 0.10 μB/f.u.

---

B.
Density functional theory data (PBE) for an optimized crystal structure of BaCeZn.

Cell and atoms, written as POSCAR:
```
BaCeZn
1.0
-1.8176 -2.6261 2.1832
-1.2506 -1.7895 -3.1937
7.1626 -1.6998 0.4909
Ce Ba Zn
1 1 1
direct
0.2922 0.2922 0.5844 Ce
0.0227 0.0227 0.0455 Ba
0.6851 0.6851 0.3701 Zn
```

Results
M_tot = 1.38 μB/f.u.

---

Least stable = B

---

A.
Density functional theory data (PBE) for an optimized crystal structure of Ba2Cl.

Cell and atoms, written as POSCAR:
```
Ba2Cl
1.0
2.1739 7.7183 0.1647
-2.1739 7.7183 0.1647
0.0000 7.5216 9.0861
Ba Cl
4 2
direct
0.7396 0.7396 0.3189 Ba
0.4357 0.4357 0.8795 Ba
0.2604 0.2604 0.6811 Ba
0.5643 0.5643 0.1205 Ba
0.1025 0.1025 0.5956 Cl
0.8975 0.8975 0.4044 Cl
```

Results
M_tot = 0.28 μB/f.u.

---

B.
Density functional theory data (PBE) for an optimized crystal structure of Ba2Cl.

Cell and atoms, written as POSCAR:
```
Ba2Cl
1.0
4.1885 -15.1975 3.4454
-0.3599 -14.6786 6.6925
-3.5234 14.0170 -7.1756
Ba Cl
4 2
direct
0.1825 0.6825 0.5000 Ba
0.3175 0.8175 0.5000 Ba
0.4325 0.4325 0.0000 Ba
0.5675 0.5675 0.0000 Ba
0.7500 0.2500 0.5000 Cl
0.0000 0.0000 0.0000 Cl
```

Results
M_tot = 0.32 μB/f.u.

---

Least stable = B

---

A.
Density functional theory data (PBE) for an optimized crystal structure of Ba2Cl.

Cell and atoms, written as POSCAR:
```
Ba2Cl
1.0
0.0000 3.7862 8.5042
2.2296 0.0000 8.5042
2.2296 3.7862 0.0000
Ba Cl
2 1
direct
0.3592 0.3592 0.6408 Ba
0.6408 0.6408 0.3592 Ba
0.0000 0.0000 0.0000 Cl
```

Results
M_tot = 0.00 μB/f.u.

---

B.
Density functional theory data (PBE) for an optimized crystal structure of Ba2Cl.

Cell and atoms, written as POSCAR:
```
Ba2Cl
1.0
5.4196 5.1756 1.9394
-0.6896 4.0533 6.5586
4.7536 -1.4159 5.9429
Ba Cl
4 2
direct
0.1250 0.1250 0.6250 Ba
0.1250 0.6250 0.1250 Ba
0.1250 0.1250 0.1250 Ba
0.6250 0.1250 0.1250 Ba
0.7500 0.7500 0.7500 Cl
0.5000 0.5000 0.5000 Cl
```

Results
M_tot = 0.01 μB/f.u.

---

Least stable = B

---

A.
Density functional theory data (PBE) for an optimized crystal structure of Ba2Cl.

Cell and atoms, written as POSCAR:
```
Ba2Cl
1.0
8.1548 0.0000 0.0000
0.0000 8.1548 0.0000
0.0000 0.0000 8.1548
Cl Ba
4 8
direct
0.0000 0.0000 0.0000 Cl
0.5000 0.5000 0.0000 Cl
0.0000 0.5000 0.5000 Cl
0.5000 0.0000 0.5000 Cl
0.1499 0.6499 0.1499 Ba
0.3501 0.1499 0.1499 Ba
0.8501 0.1499 0.3501 Ba
0.6499 0.8501 0.8501 Ba
0.8501 0.3501 0.8501 Ba
0.6499 0.6499 0.3501 Ba
0.3501 0.3501 0.6499 Ba
0.1499 0.8501 0.6499 Ba
```

Results
M_tot = 1.15 μB/f.u.

---

B.
Density functional theory data (PBE) for an optimized crystal structure of Ba2Cl.

Cell and atoms, written as POSCAR:
```
Ba2Cl
1.0
2.2130 -9.0249 0.0000
2.2130 9.0249 0.0000
0.0000 0.0000 6.8030
Ba Cl
4 2
direct
0.3346 0.6654 0.2500 Ba
0.9407 0.0593 0.7500 Ba
0.0593 0.9407 0.2500 Ba
0.6654 0.3346 0.7500 Ba
0.6971 0.3029 0.2500 Cl
0.3029 0.6971 0.7500 Cl
```

Results
M_tot = 0.49 μB/f.u.

---

Least stable = A

---

A.
Density functional theory data (PBE) for an optimized crystal structure of Ba2Cl.

Cell and atoms, written as POSCAR:
```
Ba2Cl
1.0
-2.1252 2.2249 8.3532
2.1252 -2.2249 8.3532
2.1252 2.2249 -8.3532
Cl Ba
1 2
direct
0.5000 0.5000 0.0000 Cl
0.6451 0.1451 0.5000 Ba
0.3549 0.8549 0.5000 Ba
```

Results
M_tot = 0.00 μB/f.u.

---

B.
Density functional theory data (PBE) for an optimized crystal structure of Ba2Cl.

Cell and atoms, written as POSCAR:
```
Ba2Cl
1.0
-4.1256 4.1256 3.6479
4.1256 -4.1256 3.6479
4.1256 4.1256 -3.6479
Ba Cl
4 2
direct
0.1715 0.3285 0.5000 Ba
0.3285 0.8285 0.1570 Ba
0.8285 0.6715 0.5000 Ba
0.6715 0.1715 0.8430 Ba
0.7500 0.7500 0.0000 Cl
0.2500 0.2500 0.0000 Cl
```

Results
M_tot = 1.04 μB/f.u.

---

C.
Density functional theory data (PBE) for an optimized crystal structure of Ba2Cl.

Cell and atoms, written as POSCAR:
```
Ba2Cl
1.0
-6.9523 -1.2457 1.6129
5.0820 -4.7857 1.9385
0.7676 3.1366 5.7313
Cl Ba
2 4
direct
0.6667 0.3333 0.2500 Cl
0.3333 0.6667 0.7500 Cl
0.6667 0.3333 0.7500 Ba
0.0000 0.0000 0.0000 Ba
0.3333 0.6667 0.2500 Ba
0.0000 0.0000 0.5000 Ba
```

Results
M_tot = 0.00 μB/f.u.

---

D.
Density functional theory data (PBE) for an optimized crystal structure of Ba2Cl.

Cell and atoms, written as POSCAR:
```
Ba2Cl
1.0
-4.9874 3.9038 -0.0930
0.1582 -5.0285 -3.8486
-1.6532 -2.0499 2.6105
Ba Cl
2 1
direct
0.6667 0.3333 0.0000 Ba
0.3333 0.6667 0.0000 Ba
0.0000 0.0000 0.5000 Cl
```

Results
M_tot = 0.00 μB/f.u.

---

Least stable = D